Fe2I2O | GGA+U | optimized geometry

Cell: 13.4239 5.9663 8.1440 Å, 90.00 126.87 90.00°
With the nearest neighbours (Å) after each atom.
Space group C2/m (No. 12)
Inequivalent atoms, fractional coordinates:
Fe 0.0069 0.0000 0.1529  2 O 1.94-1.99
Fe 0.1887 0.5000 0.6312  1 O 1.90
I 0.0397 0.5000 0.7830  4 Fe 2.89-3.16
I 0.1780 0.0000 0.5830  3 Fe 2.81-3.00
O 0.1447 0.0000 0.1265  3 Fe 1.90-1.99

Results
Calculated total energy   -0.32121 Ry per atom